Compound: PrSm2Al2Ni4
Source: OQMD via LeMat-Bulk
Functional: PBE
Structure: relaxed

```
data_PrSm2Al2Ni4
_symmetry_space_group_name_H-M 'C 1 2/m 1'
_symmetry_Int_Tables_number 12
_cell_length_a 10.066
_cell_length_b 4.150
_cell_length_c 8.283
_cell_angle_alpha 90.00
_cell_angle_beta 98.50
_cell_angle_gamma 90.00
loop_
_symmetry_equiv_pos_as_xyz
'x,y,z'
'-x,-y,-z'
'-x,y,-z'
'x,-y,z'
'x+1/2,y+1/2,z'
'-x+1/2,-y+1/2,-z'
'-x+1/2,y+1/2,-z'
'x+1/2,-y+1/2,z'
loop_
_atom_site_label
_atom_site_fract_x
_atom_site_fract_y
_atom_site_fract_z
Pr1 0.000 0.000 0.000
Sm1 0.125 0.500 0.381
Al1 0.178 0.500 0.786
Ni1 0.085 0.000 0.636
Ni2 0.235 0.500 0.087
```

**DFT total energy**: -0.1981 Ha/atom
**Mass density**: 7.09 g/cm³
**M_tot**: 0.00 μB/cell

Compound: Lu4Sc2In3N3
Source: OQMD via LeMat-Bulk
Functional: PBE
Structure: relaxed

```
data_Lu4Sc2In3N3
_symmetry_space_group_name_H-M 'C 1 2/c 1'
_symmetry_Int_Tables_number 15
_cell_length_a 10.129
_cell_length_b 5.848
_cell_length_c 15.548
_cell_angle_alpha 90.00
_cell_angle_beta 102.57
_cell_angle_gamma 90.00
loop_
_symmetry_equiv_pos_as_xyz
'x,y,z'
'-x,-y,-z'
'-x,y,-z+1/2'
'x,-y,z+1/2'
'x+1/2,y+1/2,z'
'-x+1/2,-y+1/2,-z'
'-x+1/2,y+1/2,-z+1/2'
'x+1/2,-y+1/2,z+1/2'
loop_
_atom_site_label
_atom_site_fract_x
_atom_site_fract_y
_atom_site_fract_z
Lu1 0.112 0.083 0.085
Lu2 0.221 0.083 0.414
Sc1 0.057 0.417 0.922
In1 0.000 0.104 0.750
In2 0.156 0.428 0.250
N1 0.083 0.251 0.500
N2 0.250 0.250 0.000
```

**DFT total energy**: -0.2369 Ha/atom
**Mass density**: 8.69 g/cm³
**M_tot**: 0.02 μB/cell

Compound: LiPmNb
Source: OQMD via LeMat-Bulk
Functional: PBE
Structure: relaxed

```
data_LiPmNb
_symmetry_space_group_name_H-M 'F -4 3 m'
_symmetry_Int_Tables_number 216
_symmetry_space_group_name_Hall 'F -4 2 3'
_cell_length_a 6.811
_cell_length_b 6.811
_cell_length_c 6.811
_cell_angle_alpha 90.00
_cell_angle_beta 90.00
_cell_angle_gamma 90.00
loop_
_atom_site_label
_atom_site_fract_x
_atom_site_fract_y
_atom_site_fract_z
Li1 0.000 0.000 0.000
Pm1 0.250 0.250 0.250
Nb1 0.000 0.000 0.500
```

**DFT total energy**: -0.1550 Ha/atom
**Energy above the lowest structure with this stoichiometry**: 0.184 eV per atom
**Mass density**: 5.15 g/cm³
**M_tot**: 8.11 μB/cell

Compound: TmNiSn
Source: OQMD via LeMat-Bulk
Functional: PBE
Structure: relaxed

```
data_TmNiSn
_symmetry_space_group_name_H-M 'P n m a'
_symmetry_Int_Tables_number 62
_cell_length_a 7.028
_cell_length_b 4.469
_cell_length_c 7.589
_cell_angle_alpha 90.00
_cell_angle_beta 90.00
_cell_angle_gamma 90.00
loop_
_symmetry_equiv_pos_as_xyz
'x,y,z'
'-x,-y,-z'
'-x+1/2,-y,z+1/2'
'x+1/2,y,-z+1/2'
'x+1/2,-y+1/2,-z+1/2'
'-x+1/2,y+1/2,z+1/2'
'-x,y+1/2,-z'
'x,-y+1/2,z'
loop_
_atom_site_label
_atom_site_fract_x
_atom_site_fract_y
_atom_site_fract_z
Tm1 0.014 0.250 0.204
Ni1 0.200 0.750 0.419
Sn1 0.193 0.250 0.590
```

**DFT total energy**: -0.1968 Ha/atom
**Mass density**: 9.65 g/cm³
**M_tot**: 0.00 μB/cell

Compound: CoAu2C4N4
Source: OQMD via LeMat-Bulk
Functional: PBE
Structure: relaxed

```
data_CoAu2C4N4
_symmetry_space_group_name_H-M 'P 64 2 2'
_symmetry_Int_Tables_number 181
_symmetry_space_group_name_Hall 'P 64 2 (0 0 2)'
_cell_length_a 8.3248
_cell_length_b 8.3248
_cell_length_c 20.7784
_cell_angle_alpha 90.00
_cell_angle_beta 90.00
_cell_angle_gamma 120.00
loop_
_atom_site_label
_atom_site_fract_x
_atom_site_fract_y
_atom_site_fract_z
Co1 0.0000 0.5000 0.2071
Au1 0.0007 0.3152 0.7073
C1 0.1805 0.3928 0.8880
C2 0.1861 0.4019 0.6372
N1 0.1433 0.4368 0.1521
N2 0.1474 0.4445 0.4036
```

**DFT total energy**: -0.2659 Ha/atom
**Mass density**: 4.45 g/cm³
**M_tot**: 18.00 μB/cell

Compound: PrGe2Pt
Source: OQMD via LeMat-Bulk
Functional: PBE
Structure: relaxed

```
data_PrGe2Pt
_symmetry_space_group_name_H-M 'P 1 21/m 1'
_symmetry_Int_Tables_number 11
_cell_length_a 6.167
_cell_length_b 4.119
_cell_length_c 7.225
_cell_angle_alpha 90.00
_cell_angle_beta 90.59
_cell_angle_gamma 90.00
loop_
_symmetry_equiv_pos_as_xyz
'x,y,z'
'-x,-y,-z'
'-x,y+1/2,-z'
'x,-y+1/2,z'
loop_
_atom_site_label
_atom_site_fract_x
_atom_site_fract_y
_atom_site_fract_z
Pr1 0.002 0.250 0.254
Ge1 0.331 0.250 0.922
Ge2 0.343 0.750 0.415
Pt1 0.494 0.750 0.751
```

**DFT total energy**: -0.2069 Ha/atom
**Mass density**: 8.71 g/cm³
**M_tot**: 0.05 μB/cell